{
  "formula": "TcHgGeOsW",
  "functional": "PBE",
  "state": "optimized geometry",
  "spacegroup": "No. 6",
  "relative_energy_mev_per_atom": 0,
  "e_form_kj_per_mol_fu": 98,
  "lattice_angstrom": [[3.0137, 0.0000, -0.0029], [0.0000, 3.0330, 0.0000], [-0.0542, 0.0000, 9.6574]],
  "species": ["Tc", "Hg", "Ge", "Os", "W"],
  "fractional_positions": [[0.8817, 0.5000, 0.5220], [0.3540, 0.0000, 0.0837], [0.3765, 0.0000, 0.3612], [0.8781, 0.5000, 0.8589], [0.3467, 0.0000, 0.7012]]
}

{
  "formula": "Li2AgSb",
  "functional": "PBE",
  "state": "optimized geometry",
  "spacegroup": "No. 10",
  "formation_energy_uncorrected_ev_per_atom": -0.31,
  "lattice_angstrom": [[-3.0678, -1.7058, -2.2390], [-0.5339, -2.0335, 2.2807], [-4.3431, 1.6895, 4.6635]],
  "species": ["Ag", "Li", "Li", "Sb"],
  "fractional_positions": [[0.5000, 0.7500, 0.7500], [0.0000, 0.9993, 0.0030], [0.0000, 0.5007, 0.4970], [0.5000, 0.2500, 0.2500]]
}

{
  "formula": "Y2CoPd",
  "functional": "PBE",
  "state": "optimized geometry",
  "spacegroup": "No. 123",
  "e_form_kj_per_mol_fu": -197,
  "lattice_angstrom": [[-0.6830, -2.1890, -2.5312], [3.3378, -0.6315, -0.3545], [-0.4894, -5.1719, 4.6049]],
  "species": ["Y", "Y", "Co", "Pd"],
  "fractional_positions": [[0.0000, 0.0000, 0.7622], [0.0000, 0.0000, 0.2378], [0.5000, 0.5000, 0.0000], [0.5000, 0.5000, 0.5000]]
}

{
  "formula": "SrPrPBr",
  "functional": "PBE",
  "state": "optimized geometry",
  "spacegroup": "No. 160",
  "formation_energy_uncorrected_ev_per_atom": -1.46,
  "lattice_angstrom": [[-0.9566, -1.4928, 3.8558], [1.9037, -2.5171, -2.8378], [6.8942, 4.1213, 0.9716]],
  "species": ["Sr", "Pr", "P", "Br"],
  "fractional_positions": [[0.4998, 0.1477, 0.6629], [0.1058, 0.9509, 0.0720], [0.3109, 0.5534, 0.8796], [0.9614, 0.3788, 0.3552]]
}

{
  "formula": "SrZn3Ge3",
  "functional": "PBE",
  "state": "optimized geometry",
  "spacegroup": "No. 148",
  "relative_energy_mev_per_atom": 0,
  "e_form_kj_per_mol_fu": -61,
  "lattice_angstrom": [[6.4351, 0.0000, 0.0000], [3.2176, 5.5729, 0.0000], [3.2176, 1.8576, 8.2488]],
  "species": ["Sr", "Sr", "Zn", "Zn", "Zn", "Zn", "Zn", "Zn", "Ge", "Ge", "Ge", "Ge", "Ge", "Ge"],
  "fractional_positions": [[0.3080, 0.3080, 0.0760], [0.6920, 0.6920, 0.9240], [0.6176, 0.7364, 0.5725], [0.7364, 0.0736, 0.5725], [0.0736, 0.6176, 0.5725], [0.9264, 0.3824, 0.4275], [0.2636, 0.9264, 0.4275], [0.3824, 0.2636, 0.4275], [0.2016, 0.7591, 0.2314], [0.8078, 0.2016, 0.2314], [0.7591, 0.8078, 0.2314], [0.2409, 0.1922, 0.7686], [0.1922, 0.7984, 0.7686], [0.7984, 0.2409, 0.7686]]
}

{
  "formula": "Mg3O2F2",
  "functional": "PBE",
  "state": "optimized geometry",
  "spacegroup": "No. 12",
  "relative_energy_mev_per_atom": 0,
  "formation_energy_uncorrected_ev_per_atom": -2.96,
  "lattice_angstrom": [[2.8348, 0.0000, -0.8037], [-0.7151, 4.6434, -2.5224], [0.1304, -0.0982, 5.8610]],
  "species": ["Mg", "Mg", "Mg", "O", "O", "F", "F"],
  "fractional_positions": [[0.0000, 0.0000, 0.0000], [0.7204, 0.6941, 0.4407], [0.2796, 0.3059, 0.5593], [0.6382, 0.2604, 0.2763], [0.3618, 0.7396, 0.7237], [0.8681, 0.1965, 0.7361], [0.1319, 0.8035, 0.2639]]
}

The calculation returns the following calculated total energy values, one per record and in order: -38.453; -12.059; -27.270; -19.377; -39.966; -39.159 eV per cell.